[1]
# GGA-PBE Cs2Ce2Te2Se, optimized geometry
# Uncorrected formation energy = -1.148 eV/atom
# Uncorrected energy = -62.8 eV/cell
data_Cs2Ce2Te2Se
_cell_length_a 5.627
_cell_length_b 5.627
_cell_length_c 19.070
_cell_angle_alpha 90.00
_cell_angle_beta 90.00
_cell_angle_gamma 90.00
_symmetry_space_group_name_H-M 'I 4/m m m'
_symmetry_Int_Tables_number 139
_symmetry_space_group_name_Hall '-I 4 2'
loop_
_atom_site_label
_atom_site_type_symbol
_atom_site_fract_x
_atom_site_fract_y
_atom_site_fract_z
_atom_site_occupancy
Cs1 Cs 0.000 0.000 0.185 1
Ce1 Ce 0.000 0.500 0.000 1
Te1 Te 0.000 0.000 0.394 1
Se1 Se 0.000 0.000 0.000 1

=====

[2]
# GGA-PBE LiSiTe2, optimized geometry
# Uncorrected formation energy = 0.056 eV/atom
# E above lowest polymorph = 353.1 meV per atom
# Uncorrected energy = -13.4 eV/cell
data_LiSiTe2
_cell_length_a 3.510
_cell_length_b 3.510
_cell_length_c 7.578
_cell_angle_alpha 90.00
_cell_angle_beta 90.00
_cell_angle_gamma 90.00
_symmetry_space_group_name_H-M 'P 4/m m m'
_symmetry_Int_Tables_number 123
_symmetry_space_group_name_Hall '-P 4 2'
loop_
_atom_site_label
_atom_site_type_symbol
_atom_site_fract_x
_atom_site_fract_y
_atom_site_fract_z
_atom_site_occupancy
Li1 Li 0.000 0.000 0.000 1
Si1 Si 0.000 0.000 0.500 1
Te1 Te 0.500 0.500 0.258 1

=====

[3]
# GGA-PBE La3CrGa, optimized geometry
# E above lowest polymorph = 0.0 meV per atom
# Uncorrected energy = -26.7 eV/cell
data_La3CrGa
_cell_length_a 5.241
_cell_length_b 5.241
_cell_length_c 5.241
_cell_angle_alpha 90.00
_cell_angle_beta 90.00
_cell_angle_gamma 90.00
_symmetry_space_group_name_H-M 'P m -3 m'
_symmetry_Int_Tables_number 221
_symmetry_space_group_name_Hall '-P 4 2 3'
loop_
_atom_site_label
_atom_site_type_symbol
_atom_site_fract_x
_atom_site_fract_y
_atom_site_fract_z
_atom_site_occupancy
La1 La 0.000 0.000 0.500 1
Cr1 Cr 0.000 0.000 0.000 1
Ga1 Ga 0.500 0.500 0.500 1

=====

[4]
# GGA-PBE TiAs2Pt, optimized geometry
# E above lowest polymorph = 21.2 meV per atom
# Uncorrected energy = -97.6 eV/cell
data_TiAs2Pt
_cell_length_a 6.401
_cell_length_b 6.401
_cell_length_c 6.401
_cell_angle_alpha 90.00
_cell_angle_beta 90.00
_cell_angle_gamma 90.00
_symmetry_space_group_name_H-M 'F m -3 m'
_symmetry_Int_Tables_number 225
_symmetry_space_group_name_Hall '-F 4 2 3'
loop_
_atom_site_label
_atom_site_type_symbol
_atom_site_fract_x
_atom_site_fract_y
_atom_site_fract_z
_atom_site_occupancy
Ti1 Ti 0.000 0.000 0.000 1
As1 As 0.250 0.250 0.250 1
Pt1 Pt 0.000 0.000 0.500 1

=====

[5]
# GGA-PBE SrIn6Au, optimized geometry
# Uncorrected energy = -45.8 eV/cell
data_SrIn6Au
_cell_length_a 4.729
_cell_length_b 6.582
_cell_length_c 14.220
_cell_angle_alpha 90.00
_cell_angle_beta 90.00
_cell_angle_gamma 90.00
_symmetry_space_group_name_H-M 'A m m 2'
_symmetry_Int_Tables_number 38
loop_
_symmetry_equiv_pos_as_xyz
'x,y,z'
'-x,-y,z'
'-x,y,z'
'x,-y,z'
'x,y+1/2,z+1/2'
'-x,-y+1/2,z+1/2'
'-x,y+1/2,z+1/2'
'x,-y+1/2,z+1/2'
loop_
_atom_site_label
_atom_site_type_symbol
_atom_site_fract_x
_atom_site_fract_y
_atom_site_fract_z
_atom_site_occupancy
Sr1 Sr 0.000 0.000 0.000 1
In1 In 0.000 0.226 0.727 1
In2 In 0.500 0.000 0.172 1
In3 In 0.500 0.000 0.573 1
In4 In 0.500 0.250 0.370 1
Au1 Au 0.000 0.000 0.427 1

=====

[6]
# GGA-PBE RhSe2N, optimized geometry
# Uncorrected formation energy = 0.679 eV/atom
# Uncorrected energy = -79.7 eV/cell
data_RhSe2N
_cell_length_a 5.256
_cell_length_b 5.256
_cell_length_c 10.702
_cell_angle_alpha 90.00
_cell_angle_beta 90.00
_cell_angle_gamma 90.00
_symmetry_space_group_name_H-M 'I -4 2 d'
_symmetry_Int_Tables_number 122
_symmetry_space_group_name_Hall 'I -4 2bw'
loop_
_atom_site_label
_atom_site_type_symbol
_atom_site_fract_x
_atom_site_fract_y
_atom_site_fract_z
_atom_site_occupancy
Rh1 Rh 0.000 0.000 0.000 1
Se1 Se 0.215 0.250 0.625 1
N1 N 0.000 0.000 0.500 1